Record 1
Density functional theory data (PBE) for an optimized crystal structure of MgHgMo2.

Output
Formation energy from the elements = 408 meV per atom
Relative energy among the computed polymorphs = 0.81 eV/f.u.
Crystal system = orthorhombic

abc: 2.7780 4.6203 5.4595
angles: 90.00 90.00 90.00
Fractional coordinates of all 4 atoms:
Mg: 0.0000 0.0000 0.0000
Hg: 0.0000 0.0000 0.5000
Mo: 0.5000 0.5000 0.2318
Mo: 0.5000 0.5000 0.7682



Record 2
Density functional theory data (PBE) for an optimized crystal structure of Mg2HgMo.

Output
Formation energy from the elements = 352 meV per atom
Crystal system = tetragonal

abc: 5.1292 5.1292 5.1292
angles: 131.47 131.47 71.07
Fractional coordinates of all 4 atoms:
Mg: 0.2500 0.7500 0.5000
Mg: 0.7500 0.2500 0.5000
Hg: 0.0000 0.0000 0.0000
Mo: 0.5000 0.5000 0.0000



Record 3
Density functional theory data (PBE) for an optimized crystal structure of MgHg2Mo.

Output
Formation energy from the elements = 302 meV per atom
Crystal system = tetragonal

abc: 2.9158 2.9158 9.3519
angles: 90.00 90.00 90.00
Fractional coordinates of all 4 atoms:
Mg: 0.0000 0.0000 0.0000
Hg: 0.0000 0.0000 0.4582
Hg: 0.5000 0.5000 0.7462
Mo: 0.5000 0.5000 0.2235



Record 4
Density functional theory data (PBE) for an optimized crystal structure of MgHgMoRh2.

Output
Formation energy from the elements = 923 meV per atom
Crystal system = tetragonal

abc: 4.6626 4.6626 5.1973
angles: 90.00 90.00 90.00
Fractional coordinates of all 5 atoms:
Mg: 0.0000 0.0000 0.0000
Hg: 0.5000 0.5000 0.0000
Mo: 0.0000 0.0000 0.5000
Rh: 0.0000 0.5000 0.5000
Rh: 0.5000 0.0000 0.5000



Record 5
Density functional theory data (PBE) for an optimized crystal structure of MgSi2HgMo.

Output
Crystal system = tetragonal
Formation energy without anion corrections = 7.59 eV per formula unit

abc: 4.9413 4.9413 5.3496
angles: 90.00 90.00 90.00
Fractional coordinates of all 5 atoms:
Mg: 0.0000 0.0000 0.0000
Si: 0.0000 0.5000 0.5000
Si: 0.5000 0.0000 0.5000
Hg: 0.5000 0.5000 0.5000
Mo: 0.5000 0.5000 0.0000



Record 6
Density functional theory data (PBE) for an optimized crystal structure of MgHgN2.

Output
Relative energy among the computed polymorphs = 1.89 eV/f.u.
Crystal system = trigonal
Formation energy without anion corrections = 4.97 eV per formula unit

abc: 6.4426 6.4426 6.4426
angles: 31.70 31.70 31.70
Fractional coordinates of all 4 atoms:
Mg: 0.0000 0.0000 0.0000
Hg: 0.5000 0.5000 0.5000
N: 0.1084 0.1084 0.1084
N: 0.8916 0.8916 0.8916



Record 7
Density functional theory data (PBE) for an optimized crystal structure of MgHgN2.

Output
Relative energy among the computed polymorphs = 0.35 eV/f.u.
Crystal system = tetragonal
Formation energy without anion corrections = 3.42 eV per formula unit

abc: 6.2178 6.2178 6.2178
angles: 133.96 133.96 67.16
Fractional coordinates of all 8 atoms:
Mg: 0.0000 0.0000 0.0000
Mg: 0.7500 0.2500 0.5000
Hg: 0.2500 0.7500 0.5000
Hg: 0.5000 0.5000 0.0000
N: 0.1047 0.6250 0.9797
N: 0.3750 0.3547 0.4797
N: 0.6453 0.1250 0.0203
N: 0.8750 0.8953 0.5203



Record 8
Density functional theory data (PBE) for an optimized crystal structure of Mg4Hg2N.

Output
Crystal system = tetragonal
Formation energy without anion corrections = -2.12 eV per formula unit

abc: 7.9757 7.9757 7.9757
angles: 149.02 149.02 44.39
Fractional coordinates of all 7 atoms:
Mg: 0.0000 0.5000 0.5000
Mg: 0.1511 0.1511 0.0000
Mg: 0.5000 0.0000 0.5000
Mg: 0.8489 0.8489 0.0000
Hg: 0.3459 0.3459 0.0000
Hg: 0.6541 0.6541 0.0000
N: 0.0000 0.0000 0.0000



Number 1: V 17.52 A^3/atom. Number 2: V 18.55 A^3/atom. Number 3: V 19.88 A^3/atom. Number 4: V 22.60 A^3/atom. Number 5: V 26.12 A^3/atom. Number 6: V 16.39 A^3/atom. Number 7: V 15.32 A^3/atom. Number 8: V 19.15 A^3/atom.